{
  "formula": "CaMn2P4O14",
  "functional": "PBE with a Hubbard U",
  "state": "optimized geometry",
  "lattice_angstrom": [[5.298, 0.065, -0.072], [1.546, 5.899, -0.016], [0.633, 2.556, 10.055]],
  "species": ["P", "P", "P", "P", "O", "O", "O", "O", "O", "O", "O", "O", "O", "O", "O", "O", "O", "O", "Ca", "Mn", "Mn"],
  "fractional_positions": [[0.935, 0.781, 0.326], [0.075, 0.225, 0.669], [0.631, 0.177, 0.137], [0.360, 0.846, 0.875], [0.444, 0.665, 0.789], [0.783, 0.829, 0.447], [0.836, 0.615, 0.262], [0.511, 0.359, 0.216], [0.245, 0.388, 0.693], [0.566, 0.987, 0.863], [0.695, 0.288, 0.993], [0.234, 0.700, 0.350], [0.902, 0.024, 0.209], [0.183, 0.095, 0.565], [0.450, 0.015, 0.144], [0.786, 0.358, 0.662], [0.298, 0.731, 0.016], [0.094, 0.028, 0.813], [0.423, 0.730, 0.546], [0.493, 0.683, 0.182], [0.524, 0.318, 0.826]],
  "sg": "No. 1",
  "m_tot_mub_per_cell": 7.9,
  "e_tot_ev_per_atom": -7.332
}